[1]
First-principles (PBE) data for a relaxed Tl5In4Hg6 crystal, as listed in the Alexandria database.

```
Tl5In4Hg6
1.0
-1.896 0.916 -2.705
-10.736 0.046 9.712
3.185 16.762 3.443
In Hg Tl
8 12 10
Cartesian
1.163 8.920 2.205
-0.384 16.039 5.700
-7.441 13.710 7.686
-7.800 8.326 6.115
-12.006 1.455 6.736
-9.713 5.508 6.501
-1.893 4.604 2.886
0.436 13.103 4.131
-3.640 16.721 6.041
-1.345 10.879 2.455
-1.570 1.705 1.678
-9.107 7.555 8.942
-4.191 13.483 7.503
-4.496 7.892 5.824
-8.957 2.341 7.071
0.769 15.996 2.706
-5.018 5.486 3.203
-0.911 6.809 0.772
-8.852 10.885 7.718
-7.733 15.135 10.545
-7.588 2.750 4.078
-5.523 10.591 7.458
-2.833 13.890 4.517
-6.358 5.176 6.209
-9.295 12.360 10.700
-3.090 8.124 2.745
-4.798 2.527 2.047
-2.694 10.572 5.468
-0.420 3.945 -0.541
-5.094 16.243 9.070
```

The spin magnetization is 0.0 μB/f.u. As for the density of states at the Fermi level: 5.61 states/eV/f.u. Its total DFT energy (no corrections) is -1.63 eV/atom. The volume is 857.6 Å³/cell. The formation enthalpy at 0 K comes out at 0.0129 eV/atom. As for the space group: Cmc2_1 (36).

---

[2]
First-principles (PBE) data for a relaxed Tl2InHg crystal, as listed in the Alexandria database.

```
Tl2InHg
1.0
-0.256 -1.211 5.529
1.968 -5.313 -0.065
2.537 4.514 -2.301
Tl In Hg
2 1 1
Cartesian
0.000 0.000 0.000
2.681 -2.031 0.183
1.569 0.020 2.980
0.856 -3.262 2.732
```

The spin magnetization is 0.0 μB/f.u. As for the density of states at the Fermi level: 1.60 states/eV/f.u. Its total DFT energy (no corrections) is -1.92 eV/atom. The volume is 115.2 Å³/cell. The formation enthalpy at 0 K comes out at 0.0196 eV/atom. As for the space group: I-4m2 (119).

---

> Look up the spin magnetization of the second one.

0.0 μB/f.u.